Record 1
Entry from the Alexandria database: a relaxed structure of Tm6ScTl4 (PBE).

Properties
Raw total energy ... -3.997 eV/atom
V ... 29.2 Å³ per atom

a = 9.311 Å, b = 9.311 Å, c = 9.311 Å
α = 56.76°, β = 140.72°, γ = 140.72°
Last column: magnetic moment on the atom in μB.
Element x y z (fractional)
Tl (0.000, 0.105, 0.628)  -0.01
Tl (0.477, 0.372, 0.372)  -0.01
Tl (0.000, 0.628, 0.105)  -0.01
Tl (0.523, 0.895, 0.895)  -0.01
Sc (0.000, 0.000, 0.000)  0.21
Tm (0.530, 0.086, 0.086)  0.11
Tm (0.500, 0.500, 0.000)  0.19
Tm (0.000, 0.444, 0.914)  0.11
Tm (0.000, 0.914, 0.444)  0.11
Tm (0.500, 0.000, 0.500)  0.19
Tm (0.470, 0.556, 0.556)  0.11

Record 2
Entry from the Alexandria database: a relaxed structure of Tm3Sc2Tl2 (PBE).

Properties
V ... 26.1 Å³ per atom
E above lowest polymorph ... 0 meV/atom

a = 5.218 Å, b = 5.218 Å, c = 8.308 Å
α = 108.25°, β = 90.08°, γ = 119.93°
Element x y z (fractional)
Sc (0.928, 0.857, 0.286)
Sc (0.072, 0.143, 0.714)
Tm (0.500, 0.000, 0.000)
Tm (0.347, 0.695, 0.542)
Tm (0.653, 0.305, 0.458)
Tl (0.783, 0.567, 0.850)
Tl (0.217, 0.433, 0.150)

Record 3
Entry from the Alexandria database: a relaxed structure of Tm5ScTl4 (PBE).

Properties
Raw total energy ... -4.055 eV/atom
V ... 26.7 Å³ per atom

a = 3.721 Å, b = 3.721 Å, c = 19.301 Å
α = 90.00°, β = 90.00°, γ = 90.00°
Element x y z (fractional)
Tl (0.000, 0.000, 0.401)
Tl (0.000, 0.000, 0.798)
Tl (0.000, 0.000, 0.202)
Tl (0.000, 0.000, 0.599)
Tm (0.500, 0.500, 0.102)
Tm (0.500, 0.500, 0.302)
Tm (0.500, 0.500, 0.500)
Tm (0.500, 0.500, 0.698)
Tm (0.500, 0.500, 0.898)
Sc (0.000, 0.000, 0.000)

Record 4
Entry from the Alexandria database: a relaxed structure of Tm2Sc2Tl7 (PBE).

Properties
Raw total energy ... -3.398 eV/atom
V ... 29.4 Å³ per atom

a = 6.683 Å, b = 8.181 Å, c = 6.683 Å
α = 90.00°, β = 117.91°, γ = 90.00°
Element x y z (fractional)
Tl (0.500, 0.692, 0.000)
Tl (0.500, 0.187, 0.500)
Tl (0.000, 0.308, 0.500)
Tl (0.500, 0.308, 0.000)
Tl (0.000, 0.692, 0.500)
Tl (0.500, 0.813, 0.500)
Tl (0.000, 0.000, 0.000)
Sc (0.734, 0.000, 0.266)
Sc (0.266, 0.000, 0.734)
Tm (0.752, 0.500, 0.752)
Tm (0.248, 0.500, 0.248)

Record 5
Entry from the Alexandria database: a relaxed structure of Tm6Sc3Tl (PBE).

Properties
V ... 28.0 Å³ per atom
E above lowest polymorph ... 18 meV/atom

a = 3.433 Å, b = 12.354 Å, c = 15.363 Å
α = 120.66°, β = 90.00°, γ = 90.00°
Element x y z (fractional)
Sc (0.750, 0.393, 0.902)
Sc (0.750, 0.617, 0.495)
Sc (0.250, 0.880, 0.913)
Sc (0.750, 0.120, 0.087)
Sc (0.250, 0.383, 0.505)
Sc (0.250, 0.607, 0.098)
Tm (0.250, 0.127, 0.281)
Tm (0.250, 0.142, 0.897)
Tm (0.250, 0.341, 0.696)
Tm (0.750, 0.121, 0.477)
Tm (0.750, 0.873, 0.719)
Tm (0.750, 0.594, 0.706)
Tm (0.250, 0.879, 0.523)
Tm (0.250, 0.406, 0.294)
Tm (0.750, 0.858, 0.103)
Tm (0.750, 0.659, 0.304)
Tm (0.750, 0.380, 0.099)
Tm (0.250, 0.620, 0.901)
Tl (0.750, 0.121, 0.699)
Tl (0.250, 0.879, 0.301)

Record 6
Entry from the Alexandria database: a relaxed structure of Tm3Sc3Tl2 (PBE).

Properties
Raw total energy ... -4.811 eV/atom
V ... 25.3 Å³ per atom

a = 4.670 Å, b = 4.670 Å, c = 9.291 Å
α = 90.00°, β = 90.00°, γ = 90.00°
Last column: magnetic moment on the atom in μB.
Element x y z (fractional)
Tm (0.000, 0.500, 0.500)  0.29
Tm (0.000, 0.500, 0.000)  0.36
Tm (0.500, 0.000, 0.500)  0.30
Sc (0.500, 0.000, 0.000)  0.40
Sc (0.500, 0.500, 0.755)  0.40
Sc (0.500, 0.500, 0.245)  0.40
Tl (0.000, 0.000, 0.754)  -0.02
Tl (0.000, 0.000, 0.246)  -0.02

Record 7
Entry from the Alexandria database: a relaxed structure of TmSc4Tl5 (PBE).

Properties
Raw total energy ... -4.425 eV/atom
V ... 24.0 Å³ per atom

a = 3.603 Å, b = 3.603 Å, c = 18.512 Å
α = 90.00°, β = 90.00°, γ = 90.00°
Element x y z (fractional)
Tl (0.500, 0.500, 0.305)
Tl (0.500, 0.500, 0.695)
Tl (0.500, 0.500, 0.892)
Tl (0.500, 0.500, 0.108)
Tl (0.500, 0.500, 0.500)
Tm (0.000, 0.000, 0.000)
Sc (0.000, 0.000, 0.793)
Sc (0.000, 0.000, 0.598)
Sc (0.000, 0.000, 0.402)
Sc (0.000, 0.000, 0.207)

Record 8
Entry from the Alexandria database: a relaxed structure of Tm3Sc5Tl2 (PBE).

Properties
Raw total energy ... -5.023 eV/atom
V ... 26.4 Å³ per atom

a = 6.424 Å, b = 11.731 Å, c = 11.731 Å
α = 38.59°, β = 74.11°, γ = 74.11°
Element x y z (fractional)
Sc (0.750, 0.500, 0.500)
Sc (0.917, 0.833, 0.833)
Sc (0.274, 0.908, 0.545)
Sc (0.583, 0.167, 0.167)
Sc (0.726, 0.092, 0.455)
Sc (0.226, 0.455, 0.092)
Sc (0.417, 0.833, 0.833)
Sc (0.250, 0.500, 0.500)
Sc (0.083, 0.167, 0.167)
Sc (0.774, 0.545, 0.908)
Tm (0.250, 0.000, 0.000)
Tm (0.627, 0.534, 0.212)
Tm (0.127, 0.212, 0.534)
Tm (0.873, 0.788, 0.466)
Tm (0.750, 0.000, 0.000)
Tm (0.373, 0.466, 0.788)
Tl (0.415, 0.820, 0.349)
Tl (0.585, 0.180, 0.651)
Tl (0.915, 0.349, 0.820)
Tl (0.085, 0.651, 0.180)

Which value of V does entry 8 give?
26.4 Å³ per atom

What is the V in the sixth record?
25.3 Å³ per atom